Record 1
# PBE-GGA Hf4In5Ga2, optimized geometry
data_Hf4In5Ga2
_chemical_formula_sum 'Hf4 In5 Ga2'
_space_group_name_H-M_alt 'P 1'
_space_group_IT_number 1
_cell_length_a 7.697
_cell_length_b 3.147
_cell_length_c 9.605
_cell_angle_alpha 90.00
_cell_angle_beta 94.42
_cell_angle_gamma 90.00
loop_
_space_group_symop_operation_xyz
'x,y,z'
loop_
_atom_site_label
_atom_site_fract_x
_atom_site_fract_y
_atom_site_fract_z
Hf1 0.181 0.000 0.371
Hf2 0.251 0.000 0.940
Hf3 0.749 0.000 0.060
Hf4 0.819 0.000 0.629
In1 0.173 0.500 0.652
In2 0.447 0.500 0.184
In3 0.500 0.500 0.500
In4 0.553 0.500 0.816
In5 0.827 0.500 0.348
Ga1 0.064 0.500 0.133
Ga2 0.936 0.500 0.867
# - DFT formation energy: -0.1958 eV per atom
# - E: -5.6103 eV per atom

***

Record 2
# PBE-GGA Hf2InGa, optimized geometry
data_Hf2InGa
_chemical_formula_sum 'Hf4 In2 Ga2'
_space_group_name_H-M_alt 'P 1'
_space_group_IT_number 1
_cell_length_a 6.676
_cell_length_b 6.676
_cell_length_c 6.703
_cell_angle_alpha 92.47
_cell_angle_beta 92.47
_cell_angle_gamma 34.10
loop_
_space_group_symop_operation_xyz
'x,y,z'
loop_
_atom_site_label
_atom_site_fract_x
_atom_site_fract_y
_atom_site_fract_z
Hf1 0.052 0.052 0.275
Hf2 0.232 0.232 0.685
Hf3 0.768 0.768 0.315
Hf4 0.948 0.948 0.725
In1 0.385 0.385 0.038
In2 0.615 0.615 0.962
Ga1 0.405 0.405 0.440
Ga2 0.595 0.595 0.560
# - DFT formation energy: -0.2650 eV per atom
# - E: -6.6831 eV per atom

***

Record 3
# PBE-GGA KHfIn2Ga, optimized geometry
data_KHfIn2Ga
_chemical_formula_sum 'K1 Hf1 In2 Ga1'
_space_group_name_H-M_alt 'P 1'
_space_group_IT_number 1
_cell_length_a 5.581
_cell_length_b 5.581
_cell_length_c 6.356
_cell_angle_alpha 90.00
_cell_angle_beta 90.00
_cell_angle_gamma 90.00
loop_
_space_group_symop_operation_xyz
'x,y,z'
loop_
_atom_site_label
_atom_site_fract_x
_atom_site_fract_y
_atom_site_fract_z
K1 0.000 0.000 0.000
Hf1 0.000 0.000 0.500
In1 0.000 0.500 0.500
In2 0.500 0.000 0.500
Ga1 0.500 0.500 0.000
# - DFT formation energy: 0.8591 eV per atom
# - E: -3.0518 eV per atom

***

Record 4
# PBE-GGA LiHfInGa2, optimized geometry
data_LiHfInGa2
_chemical_formula_sum 'Li1 Hf1 In1 Ga2'
_space_group_name_H-M_alt 'P 1'
_space_group_IT_number 1
_cell_length_a 5.235
_cell_length_b 5.235
_cell_length_c 5.577
_cell_angle_alpha 90.00
_cell_angle_beta 90.00
_cell_angle_gamma 90.00
loop_
_space_group_symop_operation_xyz
'x,y,z'
loop_
_atom_site_label
_atom_site_fract_x
_atom_site_fract_y
_atom_site_fract_z
Li1 0.000 0.000 0.000
Hf1 0.500 0.500 0.500
In1 0.500 0.500 0.000
Ga1 0.000 0.500 0.500
Ga2 0.500 0.000 0.500
# - DFT formation energy: 0.4378 eV per atom
# - E: -3.6941 eV per atom